(1)
The following is a DFT calculation (PBE) of a geometry-optimized NdBRu structure.

## Properties
* ΔE to the lowest computed polymorph: 0 meV per atom
* calculated formation energy: -0.99 eV per formula unit
* Fermi-level density of states: 0.836 states/eV/atom

POSCAR file:
```
NdBRu
1.0
3.971 0.000 0.000
0.000 3.971 0.000
0.000 0.000 7.412
Nd B Ru
2 2 2
Direct
0.250 0.250 0.198
0.750 0.750 0.802
0.250 0.250 0.618
0.750 0.750 0.382
0.250 0.750 0.500
0.750 0.250 0.500
```

---

(2)
The following is a DFT calculation (PBE) of a geometry-optimized NdBRu structure.

## Properties
* ΔE to the lowest computed polymorph: 276 meV per atom
* calculated formation energy: -0.16 eV per formula unit
* Fermi-level density of states: 0.787 states/eV/atom

POSCAR file:
```
NdBRu
1.0
3.045 0.000 0.000
0.002 3.045 0.000
1.410 1.481 5.183
Nd B Ru
1 1 1
Direct
0.000 0.000 0.000
0.277 0.284 0.427
0.718 0.725 0.544
```

---

(3)
The following is a DFT calculation (PBE) of a geometry-optimized NdB4Ru5 structure.

## Properties
* calculated formation energy: -0.31 eV per formula unit
* Fermi-level density of states: 0.803 states/eV/atom

POSCAR file:
```
NdB4Ru5
1.0
6.101 0.000 0.000
0.000 9.821 0.000
0.000 0.000 4.931
Nd B Ru
2 8 10
Direct
0.250 0.250 0.208
0.750 0.750 0.792
0.001 0.250 0.681
0.250 0.530 0.997
0.250 0.970 0.997
0.499 0.250 0.681
0.501 0.750 0.319
0.750 0.030 0.003
0.750 0.470 0.003
0.999 0.750 0.319
0.017 0.048 0.730
0.017 0.452 0.730
0.250 0.750 0.051
0.483 0.048 0.730
0.483 0.452 0.730
0.517 0.548 0.270
0.517 0.952 0.270
0.750 0.250 0.949
0.983 0.548 0.270
0.983 0.952 0.270
```

---

(4)
The following is a DFT calculation (PBE) of a geometry-optimized NdB3Ru5 structure.

## Properties
* calculated formation energy: -0.42 eV per formula unit
* Fermi-level density of states: 0.668 states/eV/atom

POSCAR file:
```
NdB3Ru5
1.0
1.508 -6.278 0.000
1.508 6.278 0.000
0.000 0.000 12.930
Nd B Ru
2 6 10
Direct
0.154 0.846 0.750
0.846 0.154 0.250
0.156 0.844 0.250
0.369 0.631 0.029
0.369 0.631 0.471
0.631 0.369 0.529
0.631 0.369 0.971
0.844 0.156 0.750
0.000 0.000 0.000
0.000 0.000 0.500
0.207 0.793 0.079
0.207 0.793 0.421
0.441 0.559 0.659
0.441 0.559 0.841
0.559 0.441 0.159
0.559 0.441 0.341
0.793 0.207 0.579
0.793 0.207 0.921
```

---

(5)
The following is a DFT calculation (PBE) of a geometry-optimized NdBRu structure.

## Properties
* ΔE to the lowest computed polymorph: 37 meV per atom
* calculated formation energy: -0.88 eV per formula unit
* Fermi-level density of states: 0.574 states/eV/atom

POSCAR file:
```
NdBRu
1.0
-2.025 2.025 6.631
2.025 -2.025 6.631
2.025 2.025 -6.631
Nd B Ru
2 2 2
Direct
0.155 0.155 0.000
0.845 0.845 0.000
0.428 0.428 0.000
0.572 0.572 0.000
0.000 0.500 0.500
0.500 0.000 0.500
```

---

(6)
The following is a DFT calculation (PBE) of a geometry-optimized NdB4Ru4 structure.

## Properties
* ΔE to the lowest computed polymorph: 19 meV per atom
* calculated formation energy: -4.05 eV per formula unit
* Fermi-level density of states: 0.847 states/eV/atom

POSCAR file:
```
NdB4Ru4
1.0
-3.779 3.779 7.571
3.779 -3.779 7.571
3.779 3.779 -7.571
Nd B Ru
4 16 16
Direct
0.125 0.375 0.750
0.375 0.125 0.250
0.625 0.875 0.750
0.875 0.625 0.250
0.064 0.124 0.274
0.124 0.350 0.061
0.150 0.376 0.439
0.210 0.936 0.561
0.290 0.850 0.726
0.350 0.790 0.226
0.376 0.436 0.226
0.436 0.710 0.061
0.564 0.290 0.939
0.624 0.564 0.774
0.650 0.210 0.774
0.710 0.150 0.274
0.790 0.064 0.439
0.850 0.624 0.561
0.876 0.650 0.939
0.936 0.876 0.726
0.041 0.821 0.989
0.052 0.041 0.720
0.168 0.679 0.720
0.179 0.668 0.220
0.321 0.541 0.489
0.332 0.052 0.511
0.448 0.168 0.989
0.459 0.448 0.780
0.541 0.552 0.220
0.552 0.832 0.011
0.668 0.948 0.489
0.679 0.459 0.511
0.821 0.332 0.780
0.832 0.321 0.280
0.948 0.959 0.280
0.959 0.179 0.011
```

---

(7)
The following is a DFT calculation (PBE) of a geometry-optimized NdB3Ru3 structure.

## Properties
* calculated formation energy: -1.25 eV per formula unit
* Fermi-level density of states: 0.524 states/eV/atom

POSCAR file:
```
NdB3Ru3
1.0
6.496 0.000 0.000
0.744 7.334 0.000
1.165 0.546 7.999
Nd B Ru
4 12 12
Direct
0.000 0.000 0.000
0.007 0.481 0.542
0.371 0.556 0.153
0.522 0.140 0.431
0.129 0.136 0.679
0.132 0.339 0.994
0.330 0.775 0.449
0.367 0.899 0.250
0.434 0.536 0.827
0.537 0.001 0.770
0.614 0.233 0.087
0.668 0.469 0.379
0.772 0.700 0.029
0.783 0.815 0.536
0.967 0.680 0.168
0.969 0.170 0.373
0.047 0.870 0.353
0.072 0.598 0.894
0.239 0.188 0.198
0.280 0.872 0.700
0.339 0.246 0.796
0.466 0.541 0.574
0.550 0.978 0.028
0.669 0.729 0.787
0.670 0.749 0.312
0.715 0.362 0.860
0.853 0.066 0.629
0.856 0.397 0.169
```

---

(8)
The following is a DFT calculation (PBE) of a geometry-optimized NdBRu structure.

## Properties
* ΔE to the lowest computed polymorph: 9 meV per atom
* calculated formation energy: -0.96 eV per formula unit
* Fermi-level density of states: 0.448 states/eV/atom

POSCAR file:
```
NdBRu
1.0
3.677 0.000 0.000
-1.838 3.184 0.000
0.000 0.000 4.477
Nd B Ru
1 1 1
Direct
0.000 0.000 0.000
0.667 0.333 0.500
0.333 0.667 0.500
```

---

| no. | size of the total moment (μB/cell) |
| --- | --- |
| 1 | 0.005 |
| 2 | 0.000 |
| 3 | 0.000 |
| 4 | 0.000 |
| 5 | 0.000 |
| 6 | 0.000 |
| 7 | 0.000 |
| 8 | 0.000 |